PBE KAl2Cu, relaxed; formation energy = 342 meV per atom; DOS(E_F) = 2.88 states/eV per cell; crystal system = trigonal; excess energy over the best structure of this formula in the dataset = 338 meV/atom; magnetic moment = 0.00 μB per cell
1.0
1.5859 0.9156 9.6779
-1.5859 0.9156 9.6779
0.0000 -1.8312 9.6779
K Al Cu
1 2 1
Cartesian
0.0000 0.0000 0.0000
0.0000 0.0000 6.6775
0.0000 0.0000 22.3561
0.0000 0.0000 14.5168